# 1
Entry from OQMD: a geometry-optimized Pr3Mg3AgIrAu structure (GGA-PBE).

a b c (Å): 7.769 7.769 4.147
angles (deg): 90.00 90.00 120.00
Fractional positions:
Pr: 0.095 0.743 0.000
Pr: 0.257 0.352 0.000
Pr: 0.648 0.905 0.000
Mg: 0.421 0.084 0.500
Mg: 0.663 0.579 0.500
Mg: 0.916 0.337 0.500
Ag: 0.667 0.333 0.000
Ir: 0.333 0.667 0.500
Au: 0.000 0.000 0.500

Electronic total energy in hartree per atom: -0.1577
Spin magnetization in μB per formula unit: 0.00

# 2
Entry from OQMD: a geometry-optimized TcAgIrAu structure (GGA-PBE).

a b c (Å): 6.372 6.372 6.372
angles (deg): 90.00 90.00 90.00
Fractional positions:
Tc: 0.000 0.000 0.000
Tc: 0.000 0.500 0.500
Tc: 0.500 0.000 0.500
Tc: 0.500 0.500 0.000
Ag: 0.250 0.250 0.750
Ag: 0.250 0.750 0.250
Ag: 0.750 0.250 0.250
Ag: 0.750 0.750 0.750
Ir: 0.250 0.250 0.250
Ir: 0.250 0.750 0.750
Ir: 0.750 0.250 0.750
Ir: 0.750 0.750 0.250
Au: 0.000 0.000 0.500
Au: 0.000 0.500 0.000
Au: 0.500 0.000 0.000
Au: 0.500 0.500 0.500

Distance to the lowest polymorph of the same formula in meV per atom: 0
Spin magnetization in μB per formula unit: 0.02
DFT formation energy in eV per atom: 0.533

# 3
Entry from OQMD: a geometry-optimized KAg2Au2 structure (GGA-PBE).

a b c (Å): 4.331 4.331 12.767
angles (deg): 90.00 90.00 90.00
Fractional positions:
K: 0.000 0.000 0.000
K: 0.500 0.500 0.500
Ag: 0.000 0.500 0.250
Ag: 0.000 0.500 0.750
Ag: 0.500 0.000 0.250
Ag: 0.500 0.000 0.750
Au: 0.000 0.000 0.394
Au: 0.000 0.000 0.606
Au: 0.500 0.500 0.106
Au: 0.500 0.500 0.894

Electronic total energy in hartree per atom: -0.1011

# 4
Entry from OQMD: a geometry-optimized KAg2Au3 structure (GGA-PBE).

a b c (Å): 5.778 5.778 4.618
angles (deg): 90.00 90.00 120.00
Fractional positions:
K: 0.000 0.000 0.000
Ag: 0.333 0.667 0.000
Ag: 0.667 0.333 0.000
Au: 0.000 0.500 0.500
Au: 0.500 0.000 0.500
Au: 0.500 0.500 0.500

Electronic total energy in hartree per atom: -0.1079

# 5
Entry from OQMD: a geometry-optimized KAg3Au2 structure (GGA-PBE).

a b c (Å): 5.835 5.835 4.578
angles (deg): 90.00 90.00 120.00
Fractional positions:
K: 0.000 0.000 0.000
Ag: 0.000 0.500 0.500
Ag: 0.500 0.000 0.500
Ag: 0.500 0.500 0.500
Au: 0.333 0.667 0.000
Au: 0.667 0.333 0.000

Electronic total energy in hartree per atom: -0.1036

# 6
Entry from OQMD: a geometry-optimized KMg2Sc2Ag2Au structure (GGA-PBE).

a b c (Å): 4.790 4.790 7.815
angles (deg): 90.00 90.00 90.00
Fractional positions:
K: 0.000 0.000 0.000
Mg: 0.000 0.500 0.708
Mg: 0.500 0.000 0.292
Sc: 0.000 0.500 0.298
Sc: 0.500 0.000 0.702
Ag: 0.000 0.000 0.500
Ag: 0.500 0.500 0.000
Au: 0.500 0.500 0.500

Electronic total energy in hartree per atom: -0.1218
Spin magnetization in μB per formula unit: 0.03